# TaIn2Pb GGA-PBEsol optimized geometry
# DOS(E_F) = 5.68 states/eV/cell
# Volume = 175.36 Å³/cell
# VASP energy = -5.238 eV/atom
data_TaIn2Pb
_space_group_name_H-M_alt 'C m m m'
_space_group_IT_number 65
_space_group_name_Hall '-C 2 2'
_cell_length_a 6.232
_cell_length_b 9.072
_cell_length_c 3.102
_cell_angle_alpha 90.00
_cell_angle_beta 90.00
_cell_angle_gamma 90.00
loop_
_atom_site_label
_atom_site_fract_x
_atom_site_fract_y
_atom_site_fract_z
Ta1 0.000 0.000 0.000
In1 0.250 0.250 0.500
Pb1 0.000 0.500 0.000

***

# AlCd2In GGA-PBEsol optimized geometry
# DOS(E_F) = 1.46 states/eV/cell
# Excess energy over the best structure of this formula in the dataset = 0 meV per atom
# Volume = 84.38 Å³/cell
# VASP energy = -2.254 eV/atom
data_AlCd2In
_space_group_name_H-M_alt 'P 4/m m m'
_space_group_IT_number 123
_space_group_name_Hall '-P 4 2'
_cell_length_a 4.399
_cell_length_b 4.399
_cell_length_c 4.360
_cell_angle_alpha 90.00
_cell_angle_beta 90.00
_cell_angle_gamma 90.00
loop_
_atom_site_label
_atom_site_fract_x
_atom_site_fract_y
_atom_site_fract_z
Al1 0.000 0.000 0.000
Cd1 0.000 0.500 0.500
In1 0.500 0.500 0.000

***

# TlRe3Ru GGA-PBEsol optimized geometry
# DOS(E_F) = 7.26 states/eV/cell
# Volume = 108.01 Å³/cell
# VASP energy = -6.723 eV/atom
data_TlRe3Ru
_space_group_name_H-M_alt 'P m -3 m'
_space_group_IT_number 221
_space_group_name_Hall '-P 4 2 3'
_cell_length_a 4.762
_cell_length_b 4.762
_cell_length_c 4.762
_cell_angle_alpha 90.00
_cell_angle_beta 90.00
_cell_angle_gamma 90.00
loop_
_atom_site_label
_atom_site_fract_x
_atom_site_fract_y
_atom_site_fract_z
Tl1 0.000 0.000 0.000
Re1 0.000 0.000 0.500
Ru1 0.500 0.500 0.500

***

# CsNb3O GGA-PBEsol optimized geometry
# DOS(E_F) = 5.44 states/eV/cell
# Energy relative to the elements, uncorrected = 49.98 kJ/mol of atoms
# Volume = 86.48 Å³/cell
# VASP energy = -7.213 eV/atom
data_CsNb3O
_space_group_name_H-M_alt 'P m -3 m'
_space_group_IT_number 221
_space_group_name_Hall '-P 4 2 3'
_cell_length_a 4.422
_cell_length_b 4.422
_cell_length_c 4.422
_cell_angle_alpha 90.00
_cell_angle_beta 90.00
_cell_angle_gamma 90.00
loop_
_atom_site_label
_atom_site_fract_x
_atom_site_fract_y
_atom_site_fract_z
Cs1 0.000 0.000 0.000
Nb1 0.000 0.500 0.500
O1 0.500 0.500 0.500

***

# Mn2Tc GGA-PBEsol optimized geometry
# DOS(E_F) = 15.22 states/eV/cell
# Excess energy over the best structure of this formula in the dataset = 0 meV per atom
# Volume = 275.78 Å³/cell
# VASP energy = -10.347 eV/atom
data_Mn2Tc
_space_group_name_H-M_alt 'P 63/m m c'
_space_group_IT_number 194
_space_group_name_Hall '-P 6c 2c'
_cell_length_a 4.5997
_cell_length_b 4.5997
_cell_length_c 15.0516
_cell_angle_alpha 90.00
_cell_angle_beta 90.00
_cell_angle_gamma 120.00
loop_
_atom_site_label
_atom_site_fract_x
_atom_site_fract_y
_atom_site_fract_z
Mn1 0.0000 0.5000 0.0000
Mn2 0.1585 0.3170 0.2500
Mn3 0.3333 0.6667 0.1289
Tc1 0.0000 0.0000 0.0906
Tc2 0.3333 0.6667 0.6568

***

# SiPbI2O GGA-PBEsol optimized geometry
# DOS(E_F) = 2.73 states/eV/cell
# Energy relative to the elements, uncorrected = 29.92 kJ/mol of atoms
# Excess energy over the best structure of this formula in the dataset = 0 meV per atom
# Volume = 154.02 Å³/cell
# VASP energy = -3.396 eV/atom
data_SiPbI2O
_space_group_name_H-M_alt 'P 4/m m m'
_space_group_IT_number 123
_space_group_name_Hall '-P 4 2'
_cell_length_a 6.105
_cell_length_b 6.105
_cell_length_c 4.133
_cell_angle_alpha 90.00
_cell_angle_beta 90.00
_cell_angle_gamma 90.00
loop_
_atom_site_label
_atom_site_fract_x
_atom_site_fract_y
_atom_site_fract_z
Si1 0.000 0.000 0.000
Pb1 0.500 0.500 0.500
I1 0.000 0.500 0.500
O1 0.500 0.500 0.000

***

# RbTcPC2 GGA-PBEsol optimized geometry
# DOS(E_F) = 3.03 states/eV/cell
# Volume = 88.67 Å³/cell
# VASP energy = -3.496 eV/atom
data_RbTcPC2
_space_group_name_H-M_alt 'P 4/m m m'
_space_group_IT_number 123
_space_group_name_Hall '-P 4 2'
_cell_length_a 4.186
_cell_length_b 4.186
_cell_length_c 5.059
_cell_angle_alpha 90.00
_cell_angle_beta 90.00
_cell_angle_gamma 90.00
loop_
_atom_site_label
_atom_site_fract_x
_atom_site_fract_y
_atom_site_fract_z
Rb1 0.000 0.000 0.000
Tc1 0.500 0.500 0.500
P1 0.000 0.000 0.500
C1 0.000 0.500 0.000

***

# Hf2TaReGe GGA-PBEsol optimized geometry
# DOS(E_F) = 5.19 states/eV/cell
# Volume = 104.99 Å³/cell
# VASP energy = -9.276 eV/atom
data_Hf2TaReGe
_space_group_name_H-M_alt 'P 4/m m m'
_space_group_IT_number 123
_space_group_name_Hall '-P 4 2'
_cell_length_a 4.769
_cell_length_b 4.769
_cell_length_c 4.617
_cell_angle_alpha 90.00
_cell_angle_beta 90.00
_cell_angle_gamma 90.00
loop_
_atom_site_label
_atom_site_fract_x
_atom_site_fract_y
_atom_site_fract_z
Hf1 0.000 0.500 0.000
Ta1 0.000 0.000 0.500
Re1 0.500 0.500 0.500
Ge1 0.000 0.000 0.000

***

# Ca2CdW GGA-PBEsol optimized geometry
# DOS(E_F) = 5.68 states/eV/cell
# Volume = 270.33 Å³/cell
# VASP energy = -4.195 eV/atom
data_Ca2CdW
_space_group_name_H-M_alt 'R -3 m'
_space_group_IT_number 166
_space_group_name_Hall '-R 3 2"'
_cell_length_a 3.1365
_cell_length_b 3.1365
_cell_length_c 31.7316
_cell_angle_alpha 90.00
_cell_angle_beta 90.00
_cell_angle_gamma 120.00
loop_
_atom_site_label
_atom_site_fract_x
_atom_site_fract_y
_atom_site_fract_z
Ca1 0.0000 0.0000 0.2454
Cd1 0.0000 0.0000 0.0000
W1 0.0000 0.0000 0.5000

***

# TaSbRh3 GGA-PBEsol optimized geometry
# DOS(E_F) = 3.22 states/eV/cell
# Energy relative to the elements, uncorrected = 81.52 kJ/mol of atoms
# Volume = 102.48 Å³/cell
# VASP energy = -7.460 eV/atom
data_TaSbRh3
_space_group_name_H-M_alt 'P m -3 m'
_space_group_IT_number 221
_space_group_name_Hall '-P 4 2 3'
_cell_length_a 4.680
_cell_length_b 4.680
_cell_length_c 4.680
_cell_angle_alpha 90.00
_cell_angle_beta 90.00
_cell_angle_gamma 90.00
loop_
_atom_site_label
_atom_site_fract_x
_atom_site_fract_y
_atom_site_fract_z
Ta1 0.000 0.000 0.000
Sb1 0.500 0.500 0.500
Rh1 0.000 0.000 0.500

***

# MgCd2 GGA-PBEsol optimized geometry
# DOS(E_F) = 3.70 states/eV/cell
# Volume = 250.61 Å³/cell
# VASP energy = -1.436 eV/atom
data_MgCd2
_space_group_name_H-M_alt 'C 1 m 1'
_space_group_IT_number 8
_cell_length_a 11.153
_cell_length_b 3.166
_cell_length_c 7.254
_cell_angle_alpha 90.00
_cell_angle_beta 101.93
_cell_angle_gamma 90.00
loop_
_space_group_symop_operation_xyz
'x,y,z'
'x,-y,z'
'x+1/2,y+1/2,z'
'x+1/2,-y+1/2,z'
loop_
_atom_site_label
_atom_site_fract_x
_atom_site_fract_y
_atom_site_fract_z
Mg1 0.000 0.000 0.000
Mg2 0.175 0.500 0.344
Cd1 0.118 0.500 0.730
Cd2 0.279 0.000 0.064
Cd3 0.341 0.000 0.675
Cd4 0.453 0.500 0.391

***

# BaSrSi3 GGA-PBEsol optimized geometry
# DOS(E_F) = 5.27 states/eV/cell
# Energy relative to the elements, uncorrected = 99.19 kJ/mol of atoms
# Volume = 167.43 Å³/cell
# VASP energy = -3.218 eV/atom
data_BaSrSi3
_space_group_name_H-M_alt 'P m -3 m'
_space_group_IT_number 221
_space_group_name_Hall '-P 4 2 3'
_cell_length_a 5.512
_cell_length_b 5.512
_cell_length_c 5.512
_cell_angle_alpha 90.00
_cell_angle_beta 90.00
_cell_angle_gamma 90.00
loop_
_atom_site_label
_atom_site_fract_x
_atom_site_fract_y
_atom_site_fract_z
Ba1 0.000 0.000 0.000
Sr1 0.500 0.500 0.500
Si1 0.000 0.000 0.500

***

# OsPb GGA-PBEsol optimized geometry
# DOS(E_F) = 2.29 states/eV/cell
# Volume = 82.31 Å³/cell
# VASP energy = -7.379 eV/atom
data_OsPb
_space_group_name_H-M_alt 'P -3 m 1'
_space_group_IT_number 164
_space_group_name_Hall '-P 3 2"'
_cell_length_a 3.0107
_cell_length_b 3.0107
_cell_length_c 10.4856
_cell_angle_alpha 90.00
_cell_angle_beta 90.00
_cell_angle_gamma 120.00
loop_
_atom_site_label
_atom_site_fract_x
_atom_site_fract_y
_atom_site_fract_z
Os1 0.3333 0.6667 0.0923
Pb1 0.3333 0.6667 0.6772